Record 1
Cd2TeAu | Alexandria | SCAN | PBEsol geometry; E_form (uncorrected) = 0.05 eV/atom; SG = I-4m2 (119)
1.0
-2.499 -3.295 0.999
2.229 -0.607 3.573
-2.835 4.918 0.071
Te Au Cd
1 1 2
Direct
0.500 0.500 0.000
0.250 0.750 0.500
0.000 0.000 0.000
0.750 0.250 0.500


Record 2
Zr2SiMo | Alexandria | SCAN | PBEsol geometry; E_form (uncorrected) = -0.30 eV/atom; SG = P4mm (99)
1.0
-1.697 -0.023 -2.910
2.330 -2.030 -1.343
-3.239 -4.992 1.928
Mo Si Zr
1 1 2
Direct
0.000 0.000 0.546
0.500 0.500 0.719
0.000 0.000 0.966
0.500 0.500 0.269


Number 1: M_tot 0.0 μB/f.u.. Number 2: M_tot 0.0 μB/f.u..